Record 1
K3NdBr8 | PBE | relaxed

Calculated values
- Symmetry: No. 139
- Mass density: 3.4 g/cm³
- Formation energy (no corrections): -1.373 eV/atom

a b c (Å): 9.606 9.606 9.606
angles (deg): 134.37 134.37 66.51
Sites, in units of the cell vectors:
K 0.000 0.000 0.000
K 0.250 0.750 0.500
K 0.750 0.250 0.500
Nd 0.500 0.500 0.000
Br 0.154 0.154 0.537
Br 0.154 0.618 0.000
Br 0.382 0.382 0.537
Br 0.382 0.846 0.000
Br 0.618 0.154 0.000
Br 0.618 0.618 0.463
Br 0.846 0.382 0.000
Br 0.846 0.846 0.463

---

Record 2
K2NdBr5 | PBE | relaxed

Calculated values
- Excess energy over the best structure of this formula in the dataset: 0.897 eV per formula unit
- Symmetry: No. 107
- Mass density: 2.3 g/cm³
- Formation energy (no corrections): -1.737 eV/atom

a b c (Å): 8.672 8.672 8.672
angles (deg): 121.48 121.48 87.46
Sites, in units of the cell vectors:
K 0.000 0.500 0.500
K 0.500 0.000 0.500
Nd 0.333 0.333 0.000
Br 0.115 0.115 0.000
Br 0.168 0.168 0.541
Br 0.168 0.627 0.000
Br 0.627 0.168 0.000
Br 0.627 0.627 0.459

---

Record 3
KNd2Br8 | PBE | relaxed

Calculated values
- Excess energy over the best structure of this formula in the dataset: 0.000 eV per formula unit
- Symmetry: No. 12
- Mass density: 4.2 g/cm³
- Formation energy (no corrections): -1.665 eV/atom

a b c (Å): 8.615 8.615 5.691
angles (deg): 90.14 90.14 115.83
Sites, in units of the cell vectors:
K 0.000 0.000 0.000
Nd 0.302 0.698 0.500
Nd 0.698 0.302 0.500
Br 0.058 0.325 0.503
Br 0.256 0.744 0.000
Br 0.325 0.058 0.503
Br 0.498 0.498 0.247
Br 0.502 0.502 0.753
Br 0.675 0.942 0.497
Br 0.744 0.256 0.000
Br 0.942 0.675 0.497

---

Record 4
K2NdBr4 | PBE | relaxed

Calculated values
- Symmetry: No. 139
- Mass density: 3.1 g/cm³
- Formation energy (no corrections): -1.583 eV/atom

a b c (Å): 9.426 9.426 9.426
angles (deg): 144.14 144.14 51.62
Sites, in units of the cell vectors:
K 0.137 0.137 0.000
K 0.863 0.863 0.000
Nd 0.500 0.500 0.000
Br 0.000 0.500 0.500
Br 0.326 0.326 0.000
Br 0.500 0.000 0.500
Br 0.674 0.674 0.000

---

Record 5
K5Nd3Br12 | PBE | relaxed

Calculated values
- Symmetry: No. 230
- Mass density: 3.4 g/cm³
- Formation energy (no corrections): -1.528 eV/atom

a b c (Å): 15.977 15.977 15.977
angles (deg): 109.47 109.47 109.47
Sites, in units of the cell vectors:
K 0.000 0.000 0.000
K 0.000 0.000 0.500
K 0.000 0.500 0.000
K 0.000 0.500 0.500
K 0.125 0.750 0.875
K 0.125 0.875 0.250
K 0.250 0.125 0.875
K 0.250 0.625 0.375
K 0.375 0.250 0.625
K 0.375 0.625 0.750
K 0.500 0.000 0.000
K 0.500 0.000 0.500
K 0.500 0.500 0.000
K 0.500 0.500 0.500
K 0.625 0.375 0.250
K 0.625 0.750 0.375
K 0.750 0.375 0.625
K 0.750 0.875 0.125
K 0.875 0.125 0.750
K 0.875 0.250 0.125
Nd 0.125 0.250 0.375
Nd 0.125 0.375 0.750
Nd 0.250 0.375 0.125
Nd 0.250 0.875 0.625
Nd 0.375 0.125 0.250
Nd 0.375 0.750 0.125
Nd 0.625 0.250 0.875
Nd 0.625 0.875 0.750
Nd 0.750 0.125 0.375
Nd 0.750 0.625 0.875
Nd 0.875 0.625 0.250
Nd 0.875 0.750 0.625
Br 0.058 0.626 0.387
Br 0.058 0.932 0.671
Br 0.068 0.239 0.126
Br 0.068 0.329 0.942
Br 0.113 0.739 0.671
Br 0.113 0.874 0.442
Br 0.126 0.068 0.239
Br 0.126 0.558 0.887
Br 0.171 0.239 0.613
Br 0.171 0.432 0.558
Br 0.239 0.126 0.068
Br 0.239 0.613 0.171
Br 0.261 0.329 0.887
Br 0.261 0.432 0.374
Br 0.329 0.887 0.261
Br 0.329 0.942 0.068
Br 0.374 0.261 0.432
Br 0.374 0.613 0.942
Br 0.387 0.058 0.626
Br 0.387 0.829 0.761
Br 0.432 0.374 0.261
Br 0.432 0.558 0.171
Br 0.442 0.113 0.874
Br 0.442 0.829 0.568
Br 0.558 0.171 0.432
Br 0.558 0.887 0.126
Br 0.568 0.442 0.829
Br 0.568 0.626 0.739
Br 0.613 0.171 0.239
Br 0.613 0.942 0.374
Br 0.626 0.387 0.058
Br 0.626 0.739 0.568
Br 0.671 0.058 0.932
Br 0.671 0.113 0.739
Br 0.739 0.568 0.626
Br 0.739 0.671 0.113
Br 0.761 0.387 0.829
Br 0.761 0.874 0.932
Br 0.829 0.568 0.442
Br 0.829 0.761 0.387
Br 0.874 0.442 0.113
Br 0.874 0.932 0.761
Br 0.887 0.126 0.558
Br 0.887 0.261 0.329
Br 0.932 0.671 0.058
Br 0.932 0.761 0.874
Br 0.942 0.068 0.329
Br 0.942 0.374 0.613

---

Record 6
KNd2Br7 | PBE | relaxed

Calculated values
- Symmetry: No. 65
- Mass density: 3.7 g/cm³
- Formation energy (no corrections): -1.820 eV/atom

a b c (Å): 8.723 8.723 5.777
angles (deg): 90.00 90.00 115.96
Sites, in units of the cell vectors:
K 0.000 0.000 0.000
Nd 0.302 0.698 0.500
Nd 0.698 0.302 0.500
Br 0.050 0.325 0.500
Br 0.290 0.710 0.000
Br 0.325 0.050 0.500
Br 0.500 0.500 0.500
Br 0.675 0.950 0.500
Br 0.710 0.290 0.000
Br 0.950 0.675 0.500

---

Record 7
KNdBr2 | PBE | relaxed

Calculated values
- Symmetry: No. 166
- Mass density: 3.9 g/cm³
- Formation energy (no corrections): -1.231 eV/atom

a b c (Å): 10.990 10.990 10.990
angles (deg): 20.78 20.78 20.78
Sites, in units of the cell vectors:
K 0.000 0.000 0.000
Nd 0.500 0.500 0.500
Br 0.104 0.104 0.104
Br 0.896 0.896 0.896

---

Record 8
KNdBr3 | PBE | relaxed

Calculated values
- Symmetry: No. 221
- Mass density: 3.6 g/cm³
- Formation energy (no corrections): -1.546 eV/atom

a b c (Å): 5.827 5.827 5.827
angles (deg): 90.00 90.00 90.00
Sites, in units of the cell vectors:
K 0.000 0.000 0.000
Nd 0.500 0.500 0.500
Br 0.000 0.500 0.500
Br 0.500 0.000 0.500
Br 0.500 0.500 0.000

---

Record 9
KNd3Br8 | PBE | relaxed

Calculated values
- Symmetry: No. 166
- Mass density: 3.9 g/cm³
- Formation energy (no corrections): -1.735 eV/atom

a b c (Å): 9.521 9.521 9.521
angles (deg): 50.76 50.76 50.76
Sites, in units of the cell vectors:
K 0.000 0.000 0.000
Nd 0.000 0.000 0.500
Nd 0.000 0.500 0.000
Nd 0.500 0.000 0.000
Br 0.241 0.736 0.736
Br 0.243 0.243 0.243
Br 0.264 0.264 0.759
Br 0.264 0.759 0.264
Br 0.736 0.241 0.736
Br 0.736 0.736 0.241
Br 0.757 0.757 0.757
Br 0.759 0.264 0.264